DFT (GGA-PBE) results for a relaxed structure of Ba2Sn7Au.

Unit cell a=5.0439 b=5.0439 c=12.7037 alpha=90.00 beta=90.00 gamma=90.00
Element x y z (fractional)
Ba 0.5000 0.0000 0.7647
Ba 0.0000 0.5000 0.2353
Sn 0.0000 0.5000 0.8789
Sn 0.5000 0.0000 0.3589
Sn 0.5000 0.0000 0.1211
Sn 0.0000 0.5000 0.6411
Sn 0.0000 0.0000 0.5000
Sn 0.0000 0.0000 0.0000
Sn 0.5000 0.5000 0.5000
Au 0.5000 0.5000 0.0000

The calculated total energy comes out at -38.59 eV for the cell shown. The value obtained for the total magnetization is 0.00 Bohr magnetons per cell. As for the symmetry: No. 115.



DFT (GGA-PBE) results for a relaxed structure of BeP2Br.

Unit cell a=3.0033 b=3.0033 c=9.0368 alpha=90.00 beta=90.00 gamma=87.27
Element x y z (fractional)
P 0.0000 0.0000 0.1295
P 0.0000 0.0000 0.3705
Br 0.5000 0.5000 0.7500
Be 0.5000 0.5000 0.2500

The calculated total energy comes out at -15.06 eV for the cell shown. The value obtained for the total magnetization is 0.00 Bohr magnetons per cell. As for the symmetry: No. 65.



DFT (GGA-PBE) results for a relaxed structure of RbLiCl.

Unit cell a=4.1201 b=7.2060 c=8.1679 alpha=73.07 beta=75.73 gamma=89.98
Element x y z (fractional)
Rb 0.8982 0.1849 0.6912
Rb 0.1018 0.8151 0.3088
Li 0.6760 0.3677 0.1510
Li 0.3240 0.6323 0.8490
Cl 0.7557 0.7138 0.9883
Cl 0.2443 0.2862 0.0117

The calculated total energy comes out at -16.17 eV for the cell shown. The value obtained for the total magnetization is 0.00 Bohr magnetons per cell. As for the symmetry: No. 2.



DFT (GGA-PBE) results for a relaxed structure of Ac2PS5.

Unit cell a=6.7668 b=6.7668 c=6.3749 alpha=122.06 beta=122.06 gamma=90.00
Element x y z (fractional)
Ac 0.2585 0.7585 0.5170
Ac 0.7585 0.2585 0.5170
P 0.9773 0.9773 0.9546
S 0.7750 0.2495 0.0245
S 0.2495 0.2495 0.0245
S 0.7750 0.7750 0.0245
S 0.2495 0.7750 0.0245
S 0.7337 0.7337 0.4674

The calculated total energy comes out at -44.50 eV for the cell shown. The value obtained for the total magnetization is 0.00 Bohr magnetons per cell. As for the symmetry: No. 107.



DFT (GGA-PBE) results for a relaxed structure of BaLa2Ru.

Unit cell a=4.1075 b=4.1078 c=9.3327 alpha=90.00 beta=90.00 gamma=90.00
Element x y z (fractional)
Ba 0.5000 0.5000 0.7430
La 0.0000 0.0000 0.0769
La 0.5000 0.5000 0.3447
Ru 0.0000 0.0000 0.3354

The calculated total energy comes out at -20.94 eV for the cell shown. The value obtained for the total magnetization is 0.00 Bohr magnetons per cell. As for the symmetry: No. 99.



DFT (GGA-PBE) results for a relaxed structure of LiBiB2As.

Unit cell a=4.2006 b=5.8214 c=4.2006 alpha=90.00 beta=90.00 gamma=90.00
Element x y z (fractional)
As 0.0000 0.0000 0.0000
B 0.0000 0.0000 0.5000
B 0.5000 0.0000 0.0000
Bi 0.0000 0.5000 0.0000
Li 0.5000 0.5000 0.5000

The calculated total energy comes out at -17.58 eV for the cell shown. The value obtained for the total magnetization is 0.00 Bohr magnetons per cell. As for the symmetry: No. 123.



DFT (GGA-PBE) results for a relaxed structure of Li3ErMg6.

Unit cell a=4.8375 b=9.0907 c=10.2276 alpha=98.22 beta=90.00 gamma=90.00
Element x y z (fractional)
Li 0.2500 0.5519 0.3966
Li 0.7500 0.4481 0.6034
Li 0.2500 0.3436 0.8167
Li 0.7500 0.6564 0.1833
Li 0.2500 0.7469 0.9707
Li 0.7500 0.2531 0.0293
Er 0.2500 0.9434 0.5973
Er 0.7500 0.0566 0.4027
Mg 0.2500 0.4697 0.1013
Mg 0.7500 0.5303 0.8987
Mg 0.2500 0.1644 0.2144
Mg 0.7500 0.8356 0.7856
Mg 0.2500 0.6157 0.6935
Mg 0.7500 0.3843 0.3065
Mg 0.2500 0.2788 0.5242
Mg 0.7500 0.7212 0.4758
Mg 0.2500 0.8286 0.2755
Mg 0.7500 0.1714 0.7245
Mg 0.2500 0.0585 0.9126
Mg 0.7500 0.9415 0.0874

The calculated total energy comes out at -40.58 eV for the cell shown. The value obtained for the total magnetization is 0.00 Bohr magnetons per cell. As for the symmetry: No. 11.



DFT (GGA-PBE) results for a relaxed structure of ZnCd6Ag3.

Unit cell a=4.9187 b=7.9894 c=10.9739 alpha=113.78 beta=90.00 gamma=90.00
Element x y z (fractional)
Zn 0.2500 0.9687 0.5653
Zn 0.7500 0.0313 0.4347
Cd 0.2500 0.4727 0.0704
Cd 0.7500 0.5273 0.9296
Cd 0.2500 0.1666 0.1655
Cd 0.7500 0.8334 0.8345
Cd 0.2500 0.6649 0.6651
Cd 0.7500 0.3351 0.3349
Cd 0.2500 0.2601 0.4754
Cd 0.7500 0.7399 0.5246
Cd 0.2500 0.8627 0.2789
Cd 0.7500 0.1373 0.7211
Cd 0.2500 0.0727 0.8643
Cd 0.7500 0.9273 0.1357
Ag 0.2500 0.5637 0.3693
Ag 0.7500 0.4363 0.6307
Ag 0.2500 0.3699 0.7673
Ag 0.7500 0.6301 0.2327
Ag 0.2500 0.7677 0.9670
Ag 0.7500 0.2323 0.0330

The calculated total energy comes out at -31.09 eV for the cell shown. The value obtained for the total magnetization is 0.00 Bohr magnetons per cell. As for the symmetry: No. 11.